[1]
# KRbZn2P2

A geometry-optimized KRbZn2P2 structure (PBE-GGA, OQMD via LeMat-Bulk).

```
6
Lattice="-0.3087 3.8356 1.4308 -1.1915 -0.8633 -3.8326 -9.6761 -2.0753 3.4756" Properties=species:S:1:pos:R:3 pbc="T T T"
P -7.9441 0.6948 2.3132
P -3.2323 0.2022 -1.2395
Zn -8.2407 -0.8720 0.5595
Zn -2.9357 1.7690 0.5142
Rb -4.8380 -1.0377 1.7378
K 0.0000 0.0000 0.0000
```

Computed properties:
DFT total energy, eV per atom: -3.01

=====

[2]
# KRe3P5

A geometry-optimized KRe3P5 structure (PBE-GGA, OQMD via LeMat-Bulk).

```
9
Lattice="-0.3947 -1.3095 5.2089 4.7821 1.3356 -2.0858 -1.2973 7.3944 1.7607" Properties=species:S:1:pos:R:3 pbc="T T T"
Re -0.8460 3.0424 3.4848
Re 1.5450 3.7103 2.4419
Re 1.7424 4.3650 -0.1626
P -0.6487 3.6972 0.8803
P 2.0874 5.9775 1.6610
P 0.3618 5.0958 4.0925
P 2.7283 2.3247 0.7912
P 1.0027 1.4430 3.2227
K 0.0000 0.0000 0.0000
```

Computed properties:
M_tot, μB/f.u.: 0.14
DFT total energy, eV per atom: -7.07

=====

[3]
# KZrP2SeS6

A geometry-optimized KZrP2SeS6 structure (PBE-GGA, OQMD via LeMat-Bulk).

```
11
Lattice="4.5371 -4.9094 0.0000 4.5371 4.9094 0.0000 -1.1076 0.0000 6.4869" Properties=species:S:1:pos:R:3 pbc="T T T"
P 6.8119 -1.4956 2.6437
P 1.1548 -1.4956 3.8432
S 2.3273 -0.4658 5.1822
S 5.6393 -0.4658 1.3047
S 5.6778 -1.7378 4.3295
S 2.2889 -1.7378 2.1574
S 4.9052 1.7613 4.8136
S 3.0615 1.7613 1.6733
K 4.5371 -3.7651 0.0000
Se -0.5538 0.0000 3.2435
Zr 3.9833 -0.0617 3.2435
```

Computed properties:
M_tot, μB/f.u.: 0.08
DFT total energy, eV per atom: -5.13

=====

[4]
# K2SmP2S7

A geometry-optimized K2SmP2S7 structure (PBE-GGA, OQMD via LeMat-Bulk).

```
24
Lattice="0.0000 6.7530 0.0000 -1.1563 0.0000 8.7105 11.4051 -3.3765 0.4453" Properties=species:S:1:pos:R:3 pbc="T T T"
S 6.8669 4.0911 1.8906
S 6.2459 2.4949 7.0269
S 7.0585 0.5930 2.2696
S 0.4119 5.9259 6.7009
S 1.1297 4.2713 3.4092
S 3.3820 0.7146 7.2652
S 4.0030 -0.8816 2.1289
S 9.1192 0.8949 5.7466
S 4.3544 1.9031 4.3703
S 5.8944 -1.4734 4.7855
S 1.1120 0.8361 3.3706
S 3.1904 3.9695 6.8862
S 9.8369 2.5494 2.4550
S 9.1368 -2.5403 5.7852
K 9.8594 -0.8509 2.9718
K 0.3895 2.5256 6.1840
K 4.0643 2.5360 1.2541
K 6.1846 -0.8405 7.9017
P 10.3206 2.5438 5.7998
P 4.3151 2.3228 6.3995
P -0.0717 5.9203 3.3561
P 5.9338 -1.0537 2.7563
Sm 7.2165 2.6191 4.3440
Sm 3.0323 -0.7574 4.8118
```

Computed properties:
M_tot, μB/f.u.: 0.00
DFT total energy, eV per atom: -4.91